Entry 1:
Density functional theory data (GGA-PBE) for a geometry-optimized Cs2NaHf structure.

Computed properties:
Final energy ... -2.094 eV per atom

abc: 9.5016 9.5016 9.5016
angles: 90.00 90.00 90.00
Closest atoms and distances in Å follow each position.
Space group Fm-3m (No. 225)
Asymmetric unit:
Cs  0.2500  0.2500  0.2500 x8  4 Hf 4.11, 4 Na 4.11
Na  0.0000  0.0000  0.0000 x4  8 Cs 4.11
Hf  0.0000  0.0000  0.5000 x4  8 Cs 4.11

Entry 2:
Density functional theory data (GGA-PBE) for a geometry-optimized Pr12Tl6H structure.

Computed properties:
Final energy ... -4.134 eV per atom

abc: 12.5743 12.5743 13.4230
angles: 90.00 90.00 120.00
Closest atoms and distances in Å follow each position.
Space group R-3 (No. 148, hexagonal axes)
Asymmetric unit:
Pr  0.0365  0.8502  0.3814 x18  1 H 2.68
Pr  0.0403  0.1876  0.8824 x18  4 Tl 3.19-3.44
Tl  0.0017  0.6032  0.2511 x18  8 Pr 3.19-3.44
H  0.0000  0.0000  0.5000 x3  6 Pr 2.68

Entry 3:
Density functional theory data (GGA-PBE) for a geometry-optimized ReSe4 structure.

Computed properties:
Formation energy from raw total energies ... 0.6930 eV/atom
Polymorph energy (0 for the lowest one) ... 476 meV per atom

abc: 6.0992 6.0992 6.0992
angles: 90.00 90.00 90.00
Closest atoms and distances in Å follow each position.
Space group Im-3m (No. 229)
Asymmetric unit:
Re  0.0000  0.0000  0.0000 x2  8 Se 2.64
Se  0.2500  0.2500  0.2500 x8  2 Re 2.64

Entry 4:
Density functional theory data (GGA-PBE) for a geometry-optimized Pm3Nd3Sc structure.

Computed properties:
Polymorph energy (0 for the lowest one) ... 127 meV per atom

abc: 11.7181 11.3062 7.2537
angles: 90.00 90.06 90.00
Closest atoms and distances in Å follow each position.
Space group C2/m (No. 12)
Asymmetric unit:
Pm  0.0000  0.1860  0.0000 x4  2 Sc 3.48, 4 Nd 3.49-3.50, 2 Pm 3.64
Pm  0.0000  0.2140  0.5000 x4  6 Nd 3.49-3.73, 4 Pm 3.53-3.64
Pm  0.2198  0.0000  0.4999 x4  6 Nd 3.40-3.77, 2 Pm 3.53, 2 Sc 3.63-3.64
Nd  0.0000  0.5000  0.2447 x4  2 Nd 3.55-3.70, 2 Sc 3.56, 6 Pm 3.73-3.97
Nd  0.2493  0.2508  0.7570 x8  2 Sc 3.33-3.34, 6 Pm 3.40-3.50, 2 Nd 3.52-3.73
Sc  0.2368  0.0000  0.9993 x4  6 Nd 3.33-3.56, 4 Pm 3.48-3.64

Entry 5:
Density functional theory data (GGA-PBE) for a geometry-optimized Nd6SmTl5 structure.

Computed properties:
Polymorph energy (0 for the lowest one) ... 89 meV per atom

abc: 10.6538 12.0126 6.2336
angles: 90.00 105.37 90.00
Closest atoms and distances in Å follow each position.
Space group C2/m (No. 12)
Asymmetric unit:
Nd  0.2145  0.0000  0.2129 x4  5 Tl 3.25-3.46, 1 Sm 3.63
Nd  0.2189  0.1859  0.7271 x8  4 Tl 3.24-3.28, 1 Nd 3.44
Sm  0.0000  0.5000  0.0000 x2  6 Tl 3.48-3.50, 6 Nd 3.63-3.76
Tl  0.0000  0.0000  0.5000 x2  6 Nd 3.25-3.27
Tl  0.0000  0.2082  0.0000 x4  6 Nd 3.24-3.41, 1 Sm 3.50
Tl  0.0000  0.3711  0.5000 x4  1 Tl 3.10, 4 Nd 3.26-3.46

Entry 6:
Density functional theory data (GGA-PBE) for a geometry-optimized YZrV structure.

Computed properties:
Polymorph energy (0 for the lowest one) ... 58 meV per atom

abc: 9.6359 4.9002 6.1968
angles: 90.00 110.99 90.00
Closest atoms and distances in Å follow each position.
Space group C2/m (No. 12)
Asymmetric unit:
Y  0.1926  0.0000  0.1416 x4  4 V 3.13-3.25, 4 Zr 3.14-3.45, 3 Y 3.42-3.49
Zr  0.0497  0.5000  0.3019 x4  1 Zr 2.94, 5 V 3.02-3.12, 3 Y 3.14-3.22
V  0.1101  0.0000  0.6056 x4  1 V 2.06

Entry 7:
Density functional theory data (GGA-PBE) for a geometry-optimized Li2In3Bi structure.

Computed properties:
Final energy ... -2.825 eV per atom

abc: 5.4138 7.1593 8.2503
angles: 107.99 93.60 102.39
Closest atoms and distances in Å follow each position.
Space group P-1 (No. 2)
Asymmetric unit:
Li  0.0614  0.3356  0.3033 x2  3 Bi 3.07-3.15, 5 In 3.12-3.36
Li  0.2936  0.6227  0.0534 x2  4 In 2.94-3.16, 2 Bi 3.04-3.11, 2 Li 3.14-3.20
In  0.1201  0.1659  0.9095 x2  4 Li 2.94-3.16, 5 In 3.10-3.28
In  0.2070  0.8746  0.4526 x2  2 Li 3.12-3.35, 5 In 3.15-3.27, 1 Bi 3.30
In  0.4806  0.0852  0.1981 x2  3 Li 3.06-3.19, 6 In 3.10-3.28, 1 Bi 3.14
Bi  0.3649  0.4395  0.6708 x2  5 Li 3.04-3.15, 3 In 3.14-3.33

Entry 8:
Density functional theory data (GGA-PBE) for a geometry-optimized ScOsRu2 structure.

Computed properties:
Polymorph energy (0 for the lowest one) ... 47 meV per atom

abc: 4.7469 2.8014 4.8390
angles: 90.00 109.52 90.00
Closest atoms and distances in Å follow each position.
Space group P2/m (No. 10)
Asymmetric unit:
Sc  0.0000  0.0000  0.0000 x1  6 Ru 2.76-2.77, 4 Os 2.80, 2 Sc 2.80
Os  0.0000  0.5000  0.5000 x1  6 Ru 2.76-2.77, 4 Sc 2.80, 2 Os 2.80
Ru  0.5000  0.0000  0.5000 x1  4 Os 2.76, 2 Sc 2.77, 6 Ru 2.80
Ru  0.5000  0.5000  0.0000 x1  4 Sc 2.76, 2 Os 2.77, 6 Ru 2.80

Entry 9:
Density functional theory data (GGA-PBE) for a geometry-optimized La2InTe structure.

Computed properties:
Formation energy from raw total energies ... -0.8716 eV/atom
Polymorph energy (0 for the lowest one) ... 175 meV per atom

abc: 5.7523 5.7523 3.7456
angles: 90.00 90.00 90.00
Closest atoms and distances in Å follow each position.
Space group P4/mmm (No. 123)
Asymmetric unit:
La  0.0000  0.5000  0.0000 x2  4 In 3.43, 4 Te 3.43, 2 La 3.75
In  0.0000  0.0000  0.5000 x1  8 La 3.43, 2 In 3.75
Te  0.5000  0.5000  0.5000 x1  8 La 3.43, 2 Te 3.75

Entry 10:
Density functional theory data (GGA-PBE) for a geometry-optimized PrThSn2 structure.

Computed properties:
Polymorph energy (0 for the lowest one) ... 0 meV per atom

abc: 4.5098 4.5781 11.8149
angles: 90.00 90.00 90.00
Closest atoms and distances in Å follow each position.
Space group Amm2 (No. 38)
Asymmetric unit:
Pr  0.0000  0.0000  0.0000 x2  7 Sn 3.21-3.54
Th  0.5000  0.0000  0.2721 x2  7 Sn 3.23-3.52
Sn  0.0000  0.0000  0.7284 x2  2 Sn 3.12, 1 Pr 3.21, 4 Th 3.25
Sn  0.5000  0.0000  0.5456 x2  2 Sn 3.12, 1 Th 3.23, 4 Pr 3.26

Entry 11:
Density functional theory data (GGA-PBE) for a geometry-optimized DyTaAlIr2 structure.

Computed properties:
Final energy ... -8.363 eV per atom

abc: 4.1159 4.1159 11.3824
angles: 90.00 90.00 90.00
Closest atoms and distances in Å follow each position.
Space group I-4m2 (No. 119)
Asymmetric unit:
Dy  0.0000  0.0000  0.0000 x2  8 Ir 3.18, 4 Ta 3.51, 4 Al 3.51
Ta  0.0000  0.5000  0.2500 x2  4 Ir 2.58
Al  0.0000  0.5000  0.7500 x2  4 Ir 2.58
Ir  0.0000  0.0000  0.3866 x4  2 Ta 2.58, 2 Al 2.58, 1 Ir 2.58

Entry 12:
Density functional theory data (GGA-PBE) for a geometry-optimized RbBa3Mg structure.

Computed properties:
Polymorph energy (0 for the lowest one) ... 603 meV per atom

abc: 6.9054 6.9054 6.9054
angles: 90.00 90.00 90.00
Closest atoms and distances in Å follow each position.
Space group Pm-3m (No. 221)
Asymmetric unit:
Rb  0.0000  0.0000  0.0000 x1  6 Ba 3.45
Ba  0.0000  0.0000  0.5000 x3  2 Rb 3.45
Mg  0.5000  0.5000  0.5000 x1  12 Ba 4.88

Entry 13:
Density functional theory data (GGA-PBE) for a geometry-optimized CaPm3Th structure.

Computed properties:
Final energy ... -4.631 eV per atom

abc: 6.4183 5.8994 9.7792
angles: 90.00 108.71 90.00
Closest atoms and distances in Å follow each position.
Space group P2_1/m (No. 11)
Asymmetric unit:
Ca  0.0720  0.2500  0.3036 x2  10 Pm 3.65-3.82, 2 Th 3.73-3.77
Pm  0.1501  0.7500  0.0981 x2  5 Pm 3.51-3.80, 4 Th 3.51-3.83, 3 Ca 3.69-3.72
Pm  0.2832  0.2500  0.7164 x2  3 Th 3.50-3.57, 6 Pm 3.51-3.87, 3 Ca 3.69-3.82
Pm  0.3355  0.7500  0.5080 x2  4 Ca 3.65-3.66, 7 Pm 3.66-3.87, 1 Th 3.69
Th  0.4730  0.2500  0.0939 x2  8 Pm 3.50-3.83, 2 Th 3.55, 2 Ca 3.73-3.77

Entry 14:
Density functional theory data (GGA-PBE) for a geometry-optimized SbPS2I structure.

Computed properties:
Formation energy from raw total energies ... 1.0897 eV/atom
Polymorph energy (0 for the lowest one) ... 336 meV per atom

abc: 4.9845 4.9845 5.2900
angles: 90.00 90.00 90.00
Closest atoms and distances in Å follow each position.
Space group P4/mmm (No. 123)
Asymmetric unit:
Sb  0.0000  0.0000  0.0000 x1  4 P 3.52, 8 S 3.63
P  0.5000  0.5000  0.0000 x1  2 I 2.64
S  0.0000  0.5000  0.5000 x2  2 I 2.49
I  0.5000  0.5000  0.5000 x1  4 S 2.49, 2 P 2.64

Entry 15:
Density functional theory data (GGA-PBE) for a geometry-optimized Nd3Sm4Er5 structure.

Computed properties:
Polymorph energy (0 for the lowest one) ... 0 meV per atom

abc: 6.2145 7.1779 8.7935
angles: 90.01 90.10 90.13
Closest atoms and distances in Å follow each position.
Space group P-1 (No. 2)
Asymmetric unit:
Nd  0.0000  0.0000  0.0000 x1  8 Er 3.57-3.59, 2 Sm 3.59, 2 Nd 3.59
Nd  0.1679  0.7503  0.6673 x2  5 Er 3.57-3.61, 6 Sm 3.59-3.61, 1 Nd 3.59
Sm  0.1687  0.2498  0.6676 x2  5 Er 3.57-3.62, 3 Sm 3.58-3.61, 4 Nd 3.59-3.61
Sm  0.3320  0.5003  0.3303 x2  5 Er 3.56-3.59, 4 Sm 3.58-3.64, 3 Nd 3.59-3.61
Er  0.0000  0.5000  0.0000 x1  4 Sm 3.56-3.59, 4 Nd 3.59, 4 Er 3.59
Er  0.3349  0.9998  0.3306 x2  3 Er 3.57-3.61, 4 Nd 3.57-3.61, 5 Sm 3.57-3.62
Er  0.4994  0.2496  0.9998 x2  6 Er 3.57-3.59, 3 Sm 3.57-3.58, 3 Nd 3.58-3.59

Entry 16:
Density functional theory data (GGA-PBE) for a geometry-optimized Ti12Ge6Os structure.

Computed properties:
Final energy ... -7.444 eV per atom

abc: 12.4202 12.4202 6.8609
angles: 90.00 90.00 120.00
Closest atoms and distances in Å follow each position.
Space group R-3 (No. 148, hexagonal axes)
Asymmetric unit:
Ti  0.0015  0.1312  0.1794 x18  3 Ge 2.63-2.84, 4 Ti 2.71-2.82, 1 Os 2.73
Ti  0.0589  0.5738  0.1659 x18  4 Ge 2.67-2.84, 3 Ti 2.71-2.83
Ge  0.0226  0.2643  0.8468 x18  7 Ti 2.63-2.84, 2 Ge 2.90
Os  0.0000  0.0000  0.5000 x3  12 Ti 2.73-3.00

Entry 17:
Density functional theory data (GGA-PBE) for a geometry-optimized RbCeCd structure.

Computed properties:
Final energy ... -2.280 eV per atom

abc: 18.9849 3.7140 6.4268
angles: 90.00 90.00 90.00
Closest atoms and distances in Å follow each position.
Space group Amm2 (No. 38)
Asymmetric unit:
Rb  0.1634  0.0000  0.0000 x4  6 Rb 3.71, 3 Cd 3.77-3.78
Ce  0.3655  0.0000  0.6704 x4  3 Cd 3.33-3.34, 6 Ce 3.71
Cd  0.0000  0.0000  0.6645 x2  6 Cd 3.71, 6 Rb 3.77-3.78
Cd  0.5000  0.0000  0.0041 x2  6 Ce 3.33-3.34, 6 Cd 3.71

Entry 18:
Density functional theory data (GGA-PBE) for a geometry-optimized BaMo3Pb structure.

Computed properties:
Polymorph energy (0 for the lowest one) ... 731 meV per atom

abc: 5.0922 5.0922 5.0922
angles: 90.00 90.00 90.00
Closest atoms and distances in Å follow each position.
Space group Pm-3m (No. 221)
Asymmetric unit:
Ba  0.0000  0.0000  0.0000 x1  6 Mo 2.55
Mo  0.0000  0.0000  0.5000 x3  2 Ba 2.55
Pb  0.5000  0.5000  0.5000 x1  12 Mo 3.60

Entry 19:
Density functional theory data (GGA-PBE) for a geometry-optimized CaCdGa4 structure.

Computed properties:
Polymorph energy (0 for the lowest one) ... 0 meV per atom

abc: 7.9735 7.9735 7.9735
angles: 90.00 90.00 90.00
Closest atoms and distances in Å follow each position.
Space group F-43m (No. 216)
Asymmetric unit:
Ca  0.0000  0.0000  0.0000 x4  12 Ga 3.31, 4 Cd 3.45
Cd  0.2500  0.2500  0.7500 x4  12 Ga 3.31, 4 Ca 3.45
Ga  0.1250  0.1250  0.3750 x16  6 Ga 2.82

Entry 20:
Density functional theory data (GGA-PBE) for a geometry-optimized GaTe2Ir structure.

Computed properties:
Formation energy from raw total energies ... 0.0255 eV/atom

abc: 6.2061 6.2061 12.2239
angles: 90.00 90.00 90.00
Closest atoms and distances in Å follow each position.
Space group I-42d (No. 122)
Asymmetric unit:
Ga  0.0000  0.0000  0.0000 x4  4 Te 2.79
Te  0.2182  0.2500  0.6250 x8  2 Ir 2.56, 2 Ga 2.79
Ir  0.0000  0.0000  0.5000 x4  4 Te 2.56

Entry 21:
Density functional theory data (GGA-PBE) for a geometry-optimized NdSm2Se structure.

Computed properties:
Formation energy from raw total energies ... -0.5943 eV/atom
Polymorph energy (0 for the lowest one) ... 217 meV per atom

abc: 3.8223 3.8223 31.5975
angles: 90.00 90.00 120.00
Closest atoms and distances in Å follow each position.
Space group R-3m (No. 166, hexagonal axes)
Asymmetric unit:
Nd  0.0000  0.0000  0.0000 x3  2 Sm 3.45, 6 Nd 3.82
Sm  0.0000  0.0000  0.1091 x6  3 Se 2.86
Se  0.0000  0.0000  0.5000 x3  6 Sm 2.86

Entry 22:
Density functional theory data (GGA-PBE) for a geometry-optimized Ho8GaNi2 structure.

Computed properties:
Polymorph energy (0 for the lowest one) ... 101 meV per atom

abc: 8.4517 13.0849 5.3270
angles: 90.00 105.29 90.00
Closest atoms and distances in Å follow each position.
Space group Cm (No. 8)
Asymmetric unit:
Ho  0.0000  0.0000  0.0000 x2  2 Ni 3.07, 1 Ga 3.13, 4 Ho 3.18-3.36
Ho  0.0887  0.3723  0.7726 x4  2 Ni 2.78-2.86
Ho  0.1786  0.1277  0.6089 x4  2 Ni 2.79-2.85
Ho  0.2670  0.5000  0.3812 x2  2 Ni 3.06, 1 Ga 3.13, 4 Ho 3.18-3.36
Ho  0.3839  0.2392  0.1905 x4  2 Ni 2.80, 1 Ga 3.13
Ga  0.3836  0.0000  0.1910 x2  4 Ho 3.13
Ni  0.3831  0.3044  0.6897 x4  8 Ho 2.78-3.07

Entry 23:
Density functional theory data (GGA-PBE) for a geometry-optimized CoBr structure.

Computed properties:
Formation energy from raw total energies ... 0.1337 eV/atom
Polymorph energy (0 for the lowest one) ... 248 meV per atom

abc: 3.5866 3.5867 7.8979
angles: 77.74 77.45 60.01
Closest atoms and distances in Å follow each position.
Space group P-1 (No. 2)
Asymmetric unit:
Co  0.1439  0.1454  0.0700 x2  3 Co 2.33, 3 Br 2.46
Br  0.4208  0.4261  0.2429 x2  3 Co 2.46

Entry 24:
Density functional theory data (GGA-PBE) for a geometry-optimized YSc2Zn structure.

Computed properties:
Final energy ... -5.099 eV per atom

abc: 3.3591 4.3908 6.3645
angles: 90.00 90.00 90.00
Closest atoms and distances in Å follow each position.
Space group Pmmm (No. 47)
Asymmetric unit:
Y  0.0000  0.0000  0.0000 x1  2 Zn 3.18, 8 Sc 3.25, 2 Y 3.36
Sc  0.5000  0.5000  0.2689 x2  1 Sc 2.94, 4 Zn 3.13, 4 Y 3.25
Zn  0.0000  0.0000  0.5000 x1  8 Sc 3.13, 2 Y 3.18, 2 Zn 3.36

Summary of density in g/cm³
3.6 7.9 7.3 6.3 8.8 5.6 6.4 12.0 7.0 8.3 13.0 2.6 6.7 4.3 7.9 6.5 5.0 8.0 5.7 7.3 6.5 8.8 5.4 4.3
(order as listed above)
Summary of density of states at the Fermi level in states/eV/f.u.
1.61 23.45 5.27 11.35 12.71 4.06 2.08 4.82 4.83 2.56 5.17 5.00 8.66 2.83 15.58 17.94 6.94 7.03 1.94 1.80 4.63 13.05 2.19 5.97
(order as listed above)